(1)
Compound: OsPt2O4
Source: OQMD
Functional: PBE
Structure: optimized geometry

Computed properties:
**Electronic total energy**: -6.042 eV/atom
**Size of the total moment**: 0.001 μB per atom

Cell lengths 6.3191, 6.3191, 8.9223 Å; angles 90.00, 90.00, 90.00 degrees
Space group I4_1/amd (No. 141, origin choice 2)
One atom of each set of equivalent atoms:
Os 0.0000 0.2500 0.3750 [4 per cell]
Pt 0.0000 0.0000 0.0000 [8 per cell]
O 0.0000 0.0038 0.2519 [16 per cell]



(2)
Compound: RbOsO3
Source: OQMD
Functional: PBE
Structure: optimized geometry

Computed properties:
**Electronic total energy**: -5.404 eV/atom
**Size of the total moment**: 0.008 μB per atom

Cell lengths 3.9283, 3.9283, 5.1842 Å; angles 90.00, 90.00, 90.00 degrees
Space group P4mm (No. 99)
One atom of each set of equivalent atoms:
Rb 0.0000 0.0000 0.0000 [1 per cell]
Os 0.5000 0.5000 0.4913 [1 per cell]
O 0.0000 0.0000 0.5009 [1 per cell]
O 0.0000 0.5000 0.4908 [2 per cell]



(3)
Compound: Rb2OsO4
Source: OQMD
Functional: PBE
Structure: optimized geometry

Computed properties:
**Electronic total energy**: -5.985 eV/atom
**Size of the total moment**: 0.286 μB per atom

Cell lengths 10.2565, 10.2565, 10.2565 Å; angles 90.00, 90.00, 90.00 degrees
Space group Fd-3m (No. 227, origin choice 2)
One atom of each set of equivalent atoms:
Rb 0.0000 0.0000 0.0000 [16 per cell]
Os 0.1250 0.1250 0.6250 [8 per cell]
O 0.0229 0.0229 0.7271 [32 per cell]



(4)
Compound: RbOsO3
Source: OQMD
Functional: PBE
Structure: optimized geometry

Computed properties:
**Electronic total energy**: -6.510 eV/atom
**Size of the total moment**: 0.001 μB per atom

Cell lengths 3.9478, 3.9478, 3.9478 Å; angles 90.00, 90.00, 90.00 degrees
Space group Pm-3m (No. 221)
One atom of each set of equivalent atoms:
Rb 0.0000 0.0000 0.0000 [1 per cell]
Os 0.5000 0.5000 0.5000 [1 per cell]
O 0.0000 0.5000 0.5000 [3 per cell]



(5)
Compound: RbOsO3
Source: OQMD
Functional: PBE
Structure: optimized geometry

Computed properties:
**Electronic total energy**: -6.620 eV/atom
**Size of the total moment**: 0.100 μB per atom

Cell lengths 9.4418, 8.3458, 7.9530 Å; angles 90.00, 96.27, 90.00 degrees
Space group C2/m (No. 12)
One atom of each set of equivalent atoms:
Rb 0.0000 0.2258 0.0000 [4 per cell]
Rb 0.1633 0.5000 0.7446 [4 per cell]
Os 0.0000 0.1913 0.5000 [4 per cell]
Os 0.2335 0.5000 0.3139 [4 per cell]
O 0.1138 0.3405 0.3964 [8 per cell]
O 0.1243 0.0000 0.4499 [4 per cell]
O 0.1252 0.1656 0.7166 [8 per cell]
O 0.1683 0.5000 0.0858 [4 per cell]



(6)
Compound: Rb2OsO3
Source: OQMD
Functional: PBE
Structure: optimized geometry

Computed properties:
**Electronic total energy**: -5.680 eV/atom
**Size of the total moment**: 0.227 μB per atom

Cell lengths 10.2418, 7.2052, 6.0553 Å; angles 90.00, 90.00, 90.00 degrees
Space group Cmcm (No. 63)
One atom of each set of equivalent atoms:
Rb 0.1696 0.1447 0.2500 [8 per cell]
Os 0.0000 0.4311 0.7500 [4 per cell]
O 0.0000 0.1668 0.7500 [4 per cell]
O 0.1197 0.5000 0.0000 [8 per cell]



(7)
Compound: Rb2OsO4
Source: OQMD
Functional: PBE
Structure: optimized geometry

Computed properties:
**Electronic total energy**: -6.053 eV/atom
**Size of the total moment**: 0.286 μB per atom

Cell lengths 12.8001, 6.1766, 7.7869 Å; angles 90.00, 116.24, 90.00 degrees
Space group C2/m (No. 12)
One atom of each set of equivalent atoms:
Rb 0.0123 0.0000 0.2384 [4 per cell]
Rb 0.1562 0.5000 0.7499 [4 per cell]
Os 0.1756 0.5000 0.2280 [4 per cell]
O 0.0889 0.5000 0.3588 [4 per cell]
O 0.1424 0.2609 0.0774 [8 per cell]
O 0.1676 0.0000 0.6254 [4 per cell]



(8)
Compound: RbOsO3
Source: OQMD
Functional: PBE
Structure: optimized geometry

Computed properties:
**Electronic total energy**: -6.516 eV/atom
**Size of the total moment**: 0.200 μB per atom

Cell lengths 6.7464, 6.7464, 15.6755 Å; angles 90.00, 90.00, 120.00 degrees
Space group R-3c (No. 167, hexagonal axes)
One atom of each set of equivalent atoms:
Rb 0.0000 0.0000 0.0000 [6 per cell]
Os 0.0000 0.0000 0.2500 [6 per cell]
O 0.0000 0.2595 0.2500 [18 per cell]